DFT (PBE) results for an optimized crystal structure of BaAgAs2Br.

The structure belongs to space group P4/mmm (No. 123); the cell edges are 6.5273, 6.5273 and 6.1233 Å and the angles 90.00°, 90.00° and 90.00°. The distinct sites, in fractional coordinates, are Ba at (0.0000, 0.0000, 0.0000), Ag at (0.5000, 0.5000, 0.5000), As at (0.0000, 0.5000, 0.0000) and Br at (0.0000, 0.0000, 0.5000).

Its crystal system is tetragonal. The formation energy without anion corrections comes out at 0.5556 eV per atom. The calculation puts the offset from the most stable computed form at 869 meV per atom. The raw total energy is -12.968 eV per cell.

---

DFT (PBE) results for an optimized crystal structure of HgBrCl2.

The structure belongs to space group Fm-3m (No. 225); the cell edges are 7.2533, 7.2533 and 7.2533 Å and the angles 90.00°, 90.00° and 90.00°. The distinct sites, in fractional coordinates, are Hg at (0.0000, 0.0000, 0.0000), Br at (0.0000, 0.0000, 0.5000) and Cl at (0.2500, 0.2500, 0.2500).

Its crystal system is cubic. The formation energy without anion corrections comes out at 0.2509 eV per atom. The calculation puts the offset from the most stable computed form at 507 meV per atom. The raw total energy is -18.657 eV per cell.

---

DFT (PBE) results for an optimized crystal structure of SrTlGaAu.

The structure belongs to space group F-43m (No. 216); the cell edges are 7.3883, 7.3883 and 7.3883 Å and the angles 90.00°, 90.00° and 90.00°. The distinct sites, in fractional coordinates, are Sr at (0.0000, 0.0000, 0.0000), Tl at (0.0000, 0.0000, 0.5000), Ga at (0.2500, 0.2500, 0.7500) and Au at (0.2500, 0.2500, 0.2500).

Its crystal system is cubic. The raw total energy is -46.537 eV per cell.

---

DFT (PBE) results for an optimized crystal structure of CrFe2Mo.

The structure belongs to space group Fm-3m (No. 225); the cell edges are 5.8498, 5.8498 and 5.8498 Å and the angles 90.00°, 90.00° and 90.00°. The distinct sites, in fractional coordinates, are Cr at (0.0000, 0.0000, 0.0000), Fe at (0.2500, 0.2500, 0.2500) and Mo at (0.0000, 0.0000, 0.5000).

Its crystal system is cubic. The calculation puts the offset from the most stable computed form at 101 meV per atom. The raw total energy is -146.376 eV per cell.

---

DFT (PBE) results for an optimized crystal structure of TaPtCl2.

The structure belongs to space group F-43m (No. 216); the cell edges are 6.5501, 6.5501 and 6.5501 Å and the angles 90.00°, 90.00° and 90.00°. The distinct sites, in fractional coordinates, are Ta at (0.0000, 0.0000, 0.0000), Pt at (0.2500, 0.2500, 0.2500), Cl at (0.0000, 0.0000, 0.5000) and Cl at (0.2500, 0.2500, 0.7500).

Its crystal system is cubic. The formation energy without anion corrections comes out at 0.2472 eV per atom. The calculation puts the offset from the most stable computed form at 910 meV per atom. The raw total energy is -82.392 eV per cell.

---

DFT (PBE) results for an optimized crystal structure of PmUIrAu.

The structure belongs to space group F-43m (No. 216); the cell edges are 7.1117, 7.1117 and 7.1117 Å and the angles 90.00°, 90.00° and 90.00°. The distinct sites, in fractional coordinates, are Pm at (0.0000, 0.0000, 0.0000), U at (0.0000, 0.0000, 0.5000), Ir at (0.2500, 0.2500, 0.2500) and Au at (0.2500, 0.2500, 0.7500).

Its crystal system is cubic. The raw total energy is -118.093 eV per cell.